The following is a PBE calculation of a geometry-optimized LiDyErRh structure, from Alexandria via LeMat-Bulk.

The energy relative to the elements comes out at -0.503 eV/atom. The calculation puts the density of states at the Fermi level at 0.674 states/eV per atom. Its total magnetization is 0.0 μB per formula unit.

The structure belongs to space group F-43m (No. 216); the cell edges are 6.9410, 6.9410 and 6.9410 Å and the angles 90.00°, 90.00° and 90.00°. Symmetry generates all atoms from Li at (0.0000, 0.0000, 0.0000), Dy at (0.2500, 0.2500, 0.2500), Er at (0.2500, 0.2500, 0.7500) and Rh at (0.0000, 0.0000, 0.5000).